Nb4AsC2: optimized geometry, PBE-GGA.

Cell: 3.327 10.722 11.115 Å, 90.00 90.00 90.00°
Space group Cmcm (No. 63)
Symmetry-distinct sites (fractional):
Nb: 0.000 0.000 0.000 [4 per cell]
Nb: 0.000 0.263 0.109 [8 per cell]
Nb: 0.000 0.426 0.750 [4 per cell]
As: 0.000 0.109 0.750 [4 per cell]
C: 0.000 0.365 0.562 [8 per cell]

Values from the calculation:
DFT formation energy: -0.517 eV/atom
energy: -9.57 eV per atom
total magnetization: 0.000 Bohr magnetons per cell